1.
Below is a relaxed structure of TcMo2Pb, with properties calculated at the PBE level.

Cell: 2.987 2.987 7.950 Å, 90.00 90.00 90.00°
Space group P4/mmm (No. 123)
One atom of each set of equivalent atoms:
1 Tc 0.000 0.000 0.000
2 Mo 0.500 0.500 0.213
3 Pb 0.000 0.000 0.500

Results
DOS(E_F) in states/eV/cell: 3.6
Volume in Å³/atom: 17.73
Final energy in eV for the cell shown: -33.9

2.
Below is a relaxed structure of Ac3NiHgCl, with properties calculated at the PBE level.

Cell: 8.236 4.914 9.851 Å, 90.00 103.18 90.00°
Space group P2_1/m (No. 11)
One atom of each set of equivalent atoms:
1 Ac 0.064 0.250 0.357
2 Ac 0.203 0.250 0.952
3 Ac 0.394 0.750 0.620
4 Ni 0.170 0.250 0.647
5 Hg 0.265 0.750 0.237
6 Cl 0.404 0.750 0.919

Results
DOS(E_F) in states/eV/cell: 9.2
Volume in Å³/atom: 32.35
Formation energy (no corrections) in meV per atom: -662

3.
Below is a relaxed structure of K3Au3Br8, with properties calculated at the PBE level.

Cell: 12.233 7.976 19.595 Å, 90.00 95.86 90.00°
Space group C2/c (No. 15)
One atom of each set of equivalent atoms:
1 K 0.000 0.003 0.250
2 K 0.189 0.461 0.592
3 Au 0.000 0.000 0.000
4 Au 0.102 0.478 0.805
5 Br 0.020 0.301 0.371
6 Br 0.066 0.206 0.915
7 Br 0.191 0.033 0.556
8 Br 0.207 0.271 0.746

Results
Volume in Å³/atom: 33.96
Formation energy (no corrections) in meV per atom: -855

4.
Below is a relaxed structure of ErPuCd, with properties calculated at the PBE level.

Cell: 5.3405 5.3405 3.2080 Å, 90.00 90.00 120.00°
Space group P3m1 (No. 156)
One atom of each set of equivalent atoms:
1 Er 0.0000 0.0000 0.0000
2 Pu 0.6667 0.3333 0.5968
3 Cd 0.3333 0.6667 0.2844

Results
DOS(E_F) in states/eV/cell: 8.1
Volume in Å³/atom: 26.41
Energy relative to the lowest polymorph listed for this composition in eV/atom: 0.066

5.
Below is a relaxed structure of Mg2ReTc, with properties calculated at the PBE level.

Cell: 8.935 2.810 5.241 Å, 90.00 94.96 90.00°
Space group Cm (No. 8)
One atom of each set of equivalent atoms:
1 Mg 0.000 0.000 0.000
2 Mg 0.243 0.000 0.757
3 Re 0.246 0.500 0.283
4 Tc 0.496 0.000 0.470

Results
DOS(E_F) in states/eV/cell: 5.5
Volume in Å³/atom: 16.39
Energy relative to the lowest polymorph listed for this composition in eV/atom: 0.241

6.
Below is a relaxed structure of ZnBiN2O, with properties calculated at the PBE level.

Cell: 3.957 3.957 4.007 Å, 90.00 90.00 90.00°
Space group P4/mmm (No. 123)
One atom of each set of equivalent atoms:
1 Zn 0.000 0.000 0.000
2 Bi 0.500 0.500 0.500
3 N 0.000 0.500 0.000
4 O 0.000 0.000 0.500

Results
DOS(E_F) in states/eV/cell: 4.0
Volume in Å³/atom: 12.55
Formation energy (no corrections) in meV per atom: 865